# 1
First-principles (PBE with a Hubbard U) data for a relaxed structure of KMn2CuF8, as listed in Alexandria via LeMat-Bulk.

a b c (Å): 5.058 5.070 6.758
angles (deg): 88.10 88.10 84.69
Sites, in units of the cell vectors:
K 0.000 0.000 0.000
Mn 0.498 0.498 0.262
Mn 0.502 0.502 0.738
Cu 0.000 0.000 0.500
F 0.208 0.784 0.702
F 0.218 0.794 0.298
F 0.312 0.314 0.483
F 0.338 0.340 0.978
F 0.662 0.660 0.022
F 0.688 0.686 0.517
F 0.782 0.206 0.702
F 0.792 0.216 0.298

Computed properties:
E_tot = -5.24 eV per atom
Total magnetic moment = 0.667 μB per atom

# 2
First-principles (PBE with a Hubbard U) data for a relaxed structure of KMn3Cu4F12, as listed in Alexandria via LeMat-Bulk.

a b c (Å): 7.164 7.164 7.164
angles (deg): 106.55 106.55 106.55
Sites, in units of the cell vectors:
K 0.000 0.000 0.000
Mn 0.000 0.579 0.421
Mn 0.421 0.000 0.579
Mn 0.579 0.421 0.000
Cu 0.116 0.500 0.884
Cu 0.500 0.500 0.500
Cu 0.500 0.884 0.116
Cu 0.884 0.116 0.500
F 0.001 0.266 0.362
F 0.090 0.910 0.500
F 0.266 0.362 0.001
F 0.331 0.669 0.500
F 0.362 0.001 0.266
F 0.500 0.090 0.910
F 0.500 0.331 0.669
F 0.638 0.734 0.999
F 0.669 0.500 0.331
F 0.734 0.999 0.638
F 0.910 0.500 0.090
F 0.999 0.638 0.734

Computed properties:
E_tot = -5.12 eV per atom
Total magnetic moment = 0.761 μB per atom

# 3
First-principles (PBE with a Hubbard U) data for a relaxed structure of KMnCuF6, as listed in Alexandria via LeMat-Bulk.

a b c (Å): 5.340 5.340 5.645
angles (deg): 91.58 91.58 115.08
Sites, in units of the cell vectors:
K 0.000 0.000 0.000
Mn 0.344 0.656 0.500
Cu 0.679 0.321 0.500
F 0.002 0.355 0.679
F 0.062 0.651 0.295
F 0.349 0.938 0.705
F 0.391 0.376 0.306
F 0.624 0.609 0.694
F 0.645 0.998 0.321

Computed properties:
E_tot = -4.92 eV per atom
Total magnetic moment = 0.333 μB per atom